A relaxed structure of Be2CoAu, computed with PBE.

```
Be2CoAu
1.0
-0.020 -2.218 -1.699
2.588 -0.690 0.870
0.451 -3.743 4.882
Be Co Au
2 1 1
Direct
0.000 0.953 0.048
0.000 0.547 0.452
0.500 0.250 0.250
0.500 0.750 0.750
```

Results
VASP energy	-4.7016	eV per atom
SG	P2/m (10)
E_form	-243	meV per atom
total moment	0.00	μB per cell
DOS at the Fermi energy	1.37	states/eV per cell

***

A relaxed structure of CoSbPb2, computed with PBE.

```
CoSbPb2
1.0
6.185 0.000 0.000
0.000 6.185 0.000
3.093 3.093 6.836
Pb Sb Co
4 2 2
Direct
0.375 0.441 0.750
0.191 0.625 0.250
0.875 0.809 0.750
0.559 0.125 0.250
0.000 0.000 0.000
0.750 0.250 0.500
0.250 0.750 0.500
0.500 0.500 0.000
```

Results
VASP energy	-4.1282	eV per atom
SG	I-42d (122)
formation energy from raw total energies	0.53	eV/atom
total moment	2.44	μB per cell
DOS at the Fermi energy	13.66	states/eV per cell
E above lowest polymorph	402	meV/atom

***

A relaxed structure of BeRuSe2, computed with PBE.

```
BeRuSe2
1.0
4.323 -0.003 0.039
3.032 3.081 0.039
0.572 0.240 6.196
Se Be Ru
2 1 1
Direct
0.725 0.725 0.621
0.982 0.982 0.152
0.533 0.533 0.403
0.260 0.260 0.325
```

Results
VASP energy	-5.1146	eV per atom
SG	Cm (8)
formation energy from raw total energies	-0.12	eV/atom
total moment	0.00	μB per cell
DOS at the Fermi energy	3.46	states/eV per cell

***

A relaxed structure of Mn2Fe2Ru, computed with PBE.

```
Mn2Fe2Ru
1.0
-4.174 -5.180 0.280
0.419 0.022 6.645
-1.987 1.607 0.120
Mn Fe Ru
4 4 2
Direct
0.172 0.672 0.500
0.828 0.328 0.500
0.672 0.828 0.500
0.328 0.172 0.500
0.624 0.124 0.000
0.876 0.624 0.000
0.376 0.876 0.000
0.124 0.376 0.000
0.500 0.500 0.000
0.000 0.000 0.000
```

Results
VASP energy	-8.7407	eV per atom
SG	P4/mbm (127)
E_form	167	meV per atom
total moment	0.00	μB per cell
DOS at the Fermi energy	12.18	states/eV per cell
E above lowest polymorph	106	meV/atom

***

A relaxed structure of Ca3Tb3NdSe8, computed with PBE.

```
Ca3Tb3NdSe8
1.0
-5.307 -6.320 -0.286
7.309 -0.911 3.734
-5.871 4.771 3.523
Tb Se Ca Nd
3 8 3 1
Direct
0.000 0.500 0.500
0.500 0.000 0.500
0.500 0.500 0.500
0.253 0.506 0.748
0.253 0.994 0.747
0.259 0.006 0.253
0.749 0.497 0.746
0.251 0.503 0.254
0.747 0.006 0.253
0.741 0.994 0.747
0.747 0.494 0.252
0.000 0.000 0.000
0.500 0.500 0.000
0.000 0.500 0.000
0.000 0.000 0.500
```

Results
VASP energy	-5.4133	eV per atom
SG	R-3m (166)
formation energy from raw total energies	-1.91	eV/atom
total moment	0.00	μB per cell
DOS at the Fermi energy	4.75	states/eV per cell

***

A relaxed structure of PmHoTlPb, computed with PBE.

```
PmHoTlPb
1.0
5.052 0.000 0.000
0.000 5.052 -0.001
-2.526 -2.527 4.450
Ho Pb Pm Tl
1 1 1 1
Direct
0.250 0.750 0.500
0.000 0.000 0.000
0.750 0.250 0.500
0.500 0.500 0.000
```

Results
VASP energy	-4.2636	eV per atom
SG	I-4m2 (119)
E_form	-413	meV per atom
total moment	0.00	μB per cell
DOS at the Fermi energy	3.26	states/eV per cell
E above lowest polymorph	0	meV/atom

***

A relaxed structure of LiCeHg6, computed with PBE.

```
LiCeHg6
1.0
-3.502 -0.417 -3.723
2.729 -4.088 -2.109
-3.672 -4.493 3.957
Ce Hg Li
1 6 1
Direct
0.000 0.684 0.000
0.500 0.814 0.269
0.000 0.186 0.732
0.000 0.674 0.500
0.000 0.186 0.268
0.500 0.814 0.731
0.500 0.297 0.000
0.500 0.345 0.500
```

Results
VASP energy	-1.4500	eV per atom
SG	Pmm2 (25)
E_form	-243	meV per atom
total moment	1.08	μB per cell
DOS at the Fermi energy	9.22	states/eV per cell
E above lowest polymorph	0	meV/atom

***

A relaxed structure of TbHo4Sc5, computed with PBE.

```
TbHo4Sc5
1.0
-3.982 -3.916 0.426
2.829 -7.025 -1.317
-0.535 -2.679 7.185
Sc Ho Tb
5 4 1
Direct
0.749 0.380 0.000
0.129 0.620 0.000
0.129 0.000 0.620
0.749 0.000 0.380
0.691 0.000 0.000
0.463 0.321 0.679
0.784 0.679 0.679
0.463 0.679 0.321
0.141 0.321 0.321
0.213 0.000 0.000
```

Results
VASP energy	-5.2149	eV per atom
SG	I4mm (107)
E_form	245	meV per atom
total moment	0.00	μB per cell
DOS at the Fermi energy	14.60	states/eV per cell

***

A relaxed structure of LiPmBeN2, computed with PBE.

```
LiPmBeN2
1.0
-2.156 -2.728 -1.447
4.128 -3.482 0.415
-2.710 -0.787 5.519
N Pm Li Be
4 2 2 2
Direct
0.234 0.239 0.042
0.234 0.761 0.458
0.766 0.239 0.542
0.766 0.761 0.958
0.234 0.500 0.750
0.766 0.500 0.250
0.468 0.000 0.250
0.532 0.000 0.750
0.000 0.000 0.500
0.000 0.000 0.000
```

Results
VASP energy	-6.3238	eV per atom
SG	P2/c (13)
formation energy from raw total energies	-0.92	eV/atom
total moment	0.00	μB per cell

***

A relaxed structure of KSeBr, computed with PBE.

```
KSeBr
1.0
6.575 -0.069 -0.019
3.339 5.665 0.019
-4.949 -2.812 3.292
Se Br K
1 1 1
Direct
0.744 0.744 0.000
0.955 0.955 0.000
0.301 0.301 0.000
```

Results
VASP energy	-2.7820	eV per atom
SG	I4mm (107)
formation energy from raw total energies	-0.70	eV/atom
total moment	0.00	μB per cell
E above lowest polymorph	282	meV/atom

***

A relaxed structure of Ca2Cd2Ge, computed with PBE.

```
Ca2Cd2Ge
1.0
-3.368 -6.636 -0.514
0.040 -0.596 7.435
-4.299 2.167 0.197
Ca Cd Ge
4 4 2
Direct
0.323 0.177 0.500
0.823 0.323 0.500
0.177 0.677 0.500
0.677 0.823 0.500
0.867 0.633 0.000
0.133 0.367 0.000
0.367 0.867 0.000
0.633 0.133 0.000
0.000 0.000 0.000
0.500 0.500 0.000
```

Results
VASP energy	-2.3511	eV per atom
SG	P4/mbm (127)
E_form	-261	meV per atom
total moment	0.00	μB per cell
DOS at the Fermi energy	7.79	states/eV per cell
E above lowest polymorph	0	meV/atom

***

A relaxed structure of Zr2MnRhN, computed with PBE.

```
Zr2MnRhN
1.0
-2.053 -3.792 -1.384
2.710 -2.445 2.681
-2.411 0.312 2.721
N Rh Mn Zr
1 1 1 2
Direct
0.000 0.000 0.000
0.500 0.500 0.500
0.000 0.000 0.500
0.000 0.500 0.000
0.500 0.000 0.000
```

Results
VASP energy	-9.2275	eV per atom
SG	P4/mmm (123)
formation energy from raw total energies	-0.84	eV/atom
total moment	0.00	μB per cell
DOS at the Fermi energy	3.42	states/eV per cell